# 1
The following is a PBE-GGA calculation of a geometry-optimized KBa structure, from the Alexandria database.

Unit cell a=12.0711 b=12.0711 c=7.2590 alpha=90.00 beta=90.00 gamma=120.00
Last column: nearest neighbours and their distance in Å.
Space group P6_3/m (No. 176)
Inequivalent atoms, fractional coordinates:
K (0.0681, 0.8188, 0.2500)  5 Ba 4.41-4.74, 6 K 4.52-4.67
Ba (0.1040, 0.6238, 0.7500)  5 K 4.41-4.74, 4 Ba 4.42-4.57

Summary:
**M_tot**: 0.05 μB/cell
**Calculated formation energy**: 0.276 eV per atom

---

# 2
The following is a PBE-GGA calculation of a geometry-optimized Hf2Ti7Bi3 structure, from the Alexandria database.

Unit cell a=4.8810 b=3.1141 c=16.6452 alpha=90.00 beta=92.18 gamma=90.00
Last column: nearest neighbours and their distance in Å.
Space group P2/m (No. 10)
Inequivalent atoms, fractional coordinates:
Hf (0.2161, 0.0000, 0.2784)  5 Ti 2.80-3.14, 2 Hf 3.11
Ti (0.2141, 0.5000, 0.1383)  5 Ti 2.74-2.99, 2 Hf 2.80, 2 Bi 2.94
Ti (0.2450, 0.0000, 0.4572)  4 Ti 2.82-3.11, 1 Hf 2.97, 2 Bi 3.13
Ti (0.3006, 0.0000, 0.8398)  6 Ti 2.85-3.11, 1 Bi 3.09, 2 Hf 3.13-3.14
Ti (0.5000, 0.5000, 0.0000)  2 Ti 2.74, 4 Bi 2.89
Bi (0.0000, 0.0000, 0.0000)  10 Ti 2.89-3.09, 2 Bi 3.11
Bi (0.2674, 0.5000, 0.6206)  2 Bi 3.11, 6 Ti 3.13-3.18, 4 Hf 3.33-3.36

Summary:
**M_tot**: 0.00 μB/cell
**Calculated formation energy**: 0.222 eV per atom

---

# 3
The following is a PBE-GGA calculation of a geometry-optimized CaNpSn2 structure, from the Alexandria database.

Unit cell a=3.3888 b=3.3888 c=9.2379 alpha=90.00 beta=90.00 gamma=90.00
Last column: nearest neighbours and their distance in Å.
Space group P4/mmm (No. 123)
Inequivalent atoms, fractional coordinates:
Ca (0.0000, 0.0000, 0.0000)  8 Sn 3.35, 4 Ca 3.39
Np (0.0000, 0.0000, 0.5000)  8 Sn 3.31, 4 Np 3.39
Sn (0.5000, 0.5000, 0.2531)  4 Np 3.31, 4 Ca 3.35, 4 Sn 3.39

Summary:
**M_tot**: 4.58 μB/cell
**Calculated formation energy**: -0.303 eV per atom

---

# 4
The following is a PBE-GGA calculation of a geometry-optimized Cr2PtW structure, from the Alexandria database.

Unit cell a=6.1333 b=6.1333 c=6.1333 alpha=90.00 beta=90.00 gamma=90.00
Last column: nearest neighbours and their distance in Å.
Space group F-43m (No. 216)
Inequivalent atoms, fractional coordinates:
Cr (0.0000, 0.0000, 0.0000)  4 Cr 2.66, 4 W 2.66
Cr (0.2500, 0.2500, 0.2500)  4 Cr 2.66, 4 Pt 2.66
Pt (0.0000, 0.0000, 0.5000)  4 W 2.66, 4 Cr 2.66
W (0.2500, 0.2500, 0.7500)  4 Cr 2.66, 4 Pt 2.66

Summary:
**Relative energy among the computed polymorphs**: 185.9 meV per atom
**M_tot**: 11.25 μB/cell
**Calculated formation energy**: 0.177 eV per atom

---

# 5
The following is a PBE-GGA calculation of a geometry-optimized YZrPb2 structure, from the Alexandria database.

Unit cell a=4.4403 b=4.4403 c=10.6272 alpha=90.00 beta=90.00 gamma=90.00
Last column: nearest neighbours and their distance in Å.
Space group I-4m2 (No. 119)
Inequivalent atoms, fractional coordinates:
Y (0.0000, 0.0000, 0.0000)  8 Pb 3.14-3.46, 4 Zr 3.46
Zr (0.0000, 0.5000, 0.2500)  8 Pb 3.14-3.46, 4 Y 3.46
Pb (0.0000, 0.0000, 0.5000)  4 Y 3.14, 4 Zr 3.46, 4 Pb 3.46
Pb (0.0000, 0.5000, 0.7500)  4 Zr 3.14, 4 Pb 3.46, 4 Y 3.46

Summary:
**M_tot**: 0.00 μB/cell
**Calculated formation energy**: -0.296 eV per atom